1.
## NaNbO2F2 (PBE)

Data for a relaxed NaNbO2F2 crystal.

Unit cell a=7.863 b=5.328 c=7.544 alpha=90.00 beta=101.28 gamma=90.00
Space group P2_1/c (No. 14)
Asymmetric unit:
Na 0.143 0.221 0.377 x4
Nb 0.344 0.725 0.178 x4
O 0.323 0.637 0.938 x4
O 0.448 0.080 0.797 x4
F 0.114 0.544 0.185 x4
F 0.183 0.021 0.112 x4

Output
As for the density: 4.0 g/cm3. The total moment comes out at 0.00 μB/f.u.

=====

2.
## NaNbO2F2 (PBE)

Data for a relaxed NaNbO2F2 crystal.

Unit cell a=7.052 b=7.067 c=6.173 alpha=90.00 beta=90.00 gamma=90.00
Space group Cmcm (No. 63)
Asymmetric unit:
Na 0.000 0.000 0.000 x4
Nb 0.000 0.470 0.250 x4
O 0.000 0.318 0.002 x8
F 0.222 0.014 0.250 x8

Output
As for the density: 4.0 g/cm3. The total moment comes out at 0.00 μB/f.u.

=====

The DFT total energy results, record by record, are as follows: -166.6; -164.7 eV/cell.